Record 1
Density functional theory data (PBE-GGA) for a geometry-optimized DyGa structure.

Lattice parameters (Å, degrees): 4.3716 10.9010 4.0302 90.00 90.00 90.00
Space group Cmcm (No. 63)
Unique sites:
Dy (0.0000, 0.1394, 0.2500) x4
Ga (0.0000, 0.4227, 0.2500) x4

***

Record 2
Density functional theory data (PBE-GGA) for a geometry-optimized DyGa3 structure.

Lattice parameters (Å, degrees): 4.2718 4.2718 4.2718 90.00 90.00 90.00
Space group Pm-3m (No. 221)
Unique sites:
Dy (0.0000, 0.0000, 0.0000) x1
Ga (0.0000, 0.5000, 0.5000) x3

***

Record 3
Density functional theory data (PBE-GGA) for a geometry-optimized Dy2Ga7 structure.

Lattice parameters (Å, degrees): 5.5152 5.5152 40.5644 90.00 90.00 120.00
Space group R-3m (No. 166, hexagonal axes)
Unique sites:
Dy (0.0000, 0.0000, 0.0495) x6
Dy (0.0000, 0.0000, 0.1485) x6
Ga (0.0000, 0.0000, 0.2775) x6
Ga (0.0000, 0.0000, 0.3904) x6
Ga (0.0000, 0.0000, 0.5000) x3
Ga (0.0000, 0.5000, 0.0000) x9
Ga (0.0077, 0.5039, 0.8875) x18

***

Record 4
Density functional theory data (PBE-GGA) for a geometry-optimized DyGa3 structure.

Lattice parameters (Å, degrees): 6.2543 6.2543 4.5925 90.00 90.00 120.00
Space group P6_3/mmc (No. 194)
Unique sites:
Dy (0.3333, 0.6667, 0.2500) x2
Ga (0.1473, 0.2945, 0.7500) x6

***

Record 5
Density functional theory data (PBE-GGA) for a geometry-optimized DyGa3 structure.

Lattice parameters (Å, degrees): 6.1972 6.1972 28.0438 90.00 90.00 120.00
Space group R-3m (No. 166, hexagonal axes)
Unique sites:
Dy (0.0000, 0.0000, 0.1305) x6
Dy (0.0000, 0.0000, 0.2883) x6
Ga (0.0049, 0.5025, 0.7086) x18
Ga (0.0455, 0.5228, 0.1240) x18

***

Record 6
Density functional theory data (PBE-GGA) for a geometry-optimized Dy5Ga4 structure.

Lattice parameters (Å, degrees): 10.8934 4.4357 10.0159 90.00 112.93 90.00
Space group C2/m (No. 12)
Unique sites:
Dy (0.0000, 0.0000, 0.0000) x2
Dy (0.1018, 0.0000, 0.3912) x4
Dy (0.2437, 0.0000, 0.8250) x4
Ga (0.0501, 0.5000, 0.8334) x4
Ga (0.1175, 0.5000, 0.6099) x4

***

Record 7
Density functional theory data (PBE-GGA) for a geometry-optimized DyGa4 structure.

Lattice parameters (Å, degrees): 4.2961 6.3651 14.0194 90.00 90.00 90.00
Space group Imma (No. 74)
Unique sites:
Dy (0.0000, 0.2500, 0.1137) x4
Ga (0.0000, 0.0000, 0.5000) x4
Ga (0.0000, 0.0353, 0.6963) x8
Ga (0.0000, 0.2500, 0.8967) x4

***

Record 8
Density functional theory data (PBE-GGA) for a geometry-optimized DyGa structure.

Lattice parameters (Å, degrees): 5.9212 5.9212 5.9212 90.00 90.00 90.00
Space group Fm-3m (No. 225)
Unique sites:
Dy (0.0000, 0.0000, 0.0000) x4
Ga (0.0000, 0.0000, 0.5000) x4

***

Record 9
Density functional theory data (PBE-GGA) for a geometry-optimized GdDyGa structure.

Lattice parameters (Å, degrees): 3.5280 3.5280 12.8831 90.00 90.00 90.00
Space group I4mm (No. 107)
Unique sites:
Gd (0.0000, 0.0000, 0.0000) x2
Dy (0.0000, 0.0000, 0.2896) x2
Ga (0.0000, 0.0000, 0.6477) x2

***

Record 10
Density functional theory data (PBE-GGA) for a geometry-optimized GdDyGa structure.

Lattice parameters (Å, degrees): 4.9761 4.9761 3.6729 90.00 90.00 120.00
Space group P3m1 (No. 156)
Unique sites:
Gd (0.0000, 0.0000, 0.0000) x1
Dy (0.6667, 0.3333, 0.4563) x1
Ga (0.3333, 0.6667, 0.6949) x1

***

Record 11
Density functional theory data (PBE-GGA) for a geometry-optimized GdDyGa structure.

Lattice parameters (Å, degrees): 7.0498 7.0498 7.0498 90.00 90.00 90.00
Space group F-43m (No. 216)
Unique sites:
Gd (0.0000, 0.0000, 0.0000) x4
Dy (0.0000, 0.0000, 0.5000) x4
Ga (0.2500, 0.2500, 0.7500) x4

***

Record 12
Density functional theory data (PBE-GGA) for a geometry-optimized GdDyGa4 structure.

Lattice parameters (Å, degrees): 7.8149 7.8149 7.8149 90.00 90.00 90.00
Space group F-43m (No. 216)
Unique sites:
Gd (0.0000, 0.0000, 0.0000) x4
Dy (0.2500, 0.2500, 0.2500) x4
Ga (0.1251, 0.1251, 0.6251) x16

***

Record 13
Density functional theory data (PBE-GGA) for a geometry-optimized GdDyGaGe structure.

Lattice parameters (Å, degrees): 7.1838 7.1838 7.1838 90.00 90.00 90.00
Space group F-43m (No. 216)
Unique sites:
Gd (0.0000, 0.0000, 0.0000) x4
Dy (0.0000, 0.0000, 0.5000) x4
Ga (0.2500, 0.2500, 0.7500) x4
Ge (0.2500, 0.2500, 0.2500) x4

***

Record 14
Density functional theory data (PBE-GGA) for a geometry-optimized GdDyGaHg structure.

Lattice parameters (Å, degrees): 7.3585 7.3585 7.3585 90.00 90.00 90.00
Space group F-43m (No. 216)
Unique sites:
Gd (0.0000, 0.0000, 0.0000) x4
Dy (0.0000, 0.0000, 0.5000) x4
Ga (0.2500, 0.2500, 0.2500) x4
Hg (0.2500, 0.2500, 0.7500) x4

***

Record 15
Density functional theory data (PBE-GGA) for a geometry-optimized GdDyHoGa structure.

Lattice parameters (Å, degrees): 7.5239 7.5239 7.5239 90.00 90.00 90.00
Space group F-43m (No. 216)
Unique sites:
Gd (0.0000, 0.0000, 0.0000) x4
Dy (0.0000, 0.0000, 0.5000) x4
Ho (0.2500, 0.2500, 0.2500) x4
Ga (0.2500, 0.2500, 0.7500) x4

***

Record 16
Density functional theory data (PBE-GGA) for a geometry-optimized GdDyInGa structure.

Lattice parameters (Å, degrees): 7.3813 7.3813 7.3813 90.00 90.00 90.00
Space group F-43m (No. 216)
Unique sites:
Gd (0.0000, 0.0000, 0.0000) x4
Dy (0.0000, 0.0000, 0.5000) x4
In (0.2500, 0.2500, 0.2500) x4
Ga (0.2500, 0.2500, 0.7500) x4

***

Record 17
Density functional theory data (PBE-GGA) for a geometry-optimized GdDyGaIr structure.

Lattice parameters (Å, degrees): 7.0419 7.0419 7.0419 90.00 90.00 90.00
Space group F-43m (No. 216)
Unique sites:
Gd (0.0000, 0.0000, 0.0000) x4
Dy (0.0000, 0.0000, 0.5000) x4
Ga (0.2500, 0.2500, 0.7500) x4
Ir (0.2500, 0.2500, 0.2500) x4

***

Record 18
Density functional theory data (PBE-GGA) for a geometry-optimized LaGdDyGa structure.

Lattice parameters (Å, degrees): 7.6873 7.6873 7.6873 90.00 90.00 90.00
Space group F-43m (No. 216)
Unique sites:
La (0.0000, 0.0000, 0.0000) x4
Gd (0.0000, 0.0000, 0.5000) x4
Dy (0.2500, 0.2500, 0.7500) x4
Ga (0.2500, 0.2500, 0.2500) x4

***

Record 19
Density functional theory data (PBE-GGA) for a geometry-optimized LiGdDyGa structure.

Lattice parameters (Å, degrees): 7.2453 7.2453 7.2453 90.00 90.00 90.00
Space group F-43m (No. 216)
Unique sites:
Li (0.0000, 0.0000, 0.0000) x4
Gd (0.2500, 0.2500, 0.7500) x4
Dy (0.2500, 0.2500, 0.2500) x4
Ga (0.0000, 0.0000, 0.5000) x4

***

Record 20
Density functional theory data (PBE-GGA) for a geometry-optimized GdDyLuGa structure.

Lattice parameters (Å, degrees): 7.4852 7.4852 7.4852 90.00 90.00 90.00
Space group F-43m (No. 216)
Unique sites:
Gd (0.0000, 0.0000, 0.0000) x4
Dy (0.0000, 0.0000, 0.5000) x4
Lu (0.2500, 0.2500, 0.7500) x4
Ga (0.2500, 0.2500, 0.2500) x4

***

| no. | formation energy from the elements (eV per atom) | total magnetic moment (μB per cell) |
| --- | --- | --- |
| 1 | -0.628 | 0.0 |
| 2 | -0.537 | 0.0 |
| 3 | -0.304 | 0.0 |
| 4 | -0.533 | 0.0 |
| 5 | -0.530 | 0.0 |
| 6 | -0.564 | 0.0 |
| 7 | -0.416 | 0.0 |
| 8 | -0.260 | 1.5 |
| 9 | -0.369 | 14.9 |
| 10 | -0.275 | 7.2 |
| 11 | -0.265 | 31.1 |
| 12 | -0.563 | 30.1 |
| 13 | -0.592 | 28.2 |
| 14 | -0.524 | 31.2 |
| 15 | -0.100 | 33.2 |
| 16 | -0.505 | 28.6 |
| 17 | -0.655 | 28.4 |
| 18 | -0.122 | 33.5 |
| 19 | -0.315 | 30.2 |
| 20 | -0.122 | 32.1 |